Computed, not measured: an optimized crystal structure of AcCeSn4 at the PBE level of DFT.

abc: 6.306 6.306 6.306
angles: 60.00 60.00 60.00
Site moments in Bohr magnetons follow the coordinates.
Fractional coordinates of all 6 atoms:
Sn  0.123  0.626  0.626  0.01
Ac  0.250  0.250  0.250  0.16
Sn  0.626  0.123  0.626  0.01
Sn  0.626  0.626  0.123  0.01
Sn  0.626  0.626  0.626  0.01
Ce  0.000  0.000  0.000  1.19

Output
ΔE_f = -0.3687 eV per atom
Space group = F-43m, No. 216